This record from Alexandria describes a relaxed K2RbNaLi crystal. The functional is PBE.

## Properties
ΔH_f (0 K): 197.6 meV per atom
D(E_F): 3.38 states/eV per cell
Theoretical density: 0.9 g/cm³
Energy above the most stable polymorph in this dataset: 0.078 eV/atom

```
data_K2RbNaLi
_space_group_name_H-M_alt 'P 4/m m m'
_space_group_IT_number 123
_space_group_name_Hall '-P 4 2'
_cell_length_a 6.891
_cell_length_b 6.891
_cell_length_c 7.141
_cell_angle_alpha 90.00
_cell_angle_beta 90.00
_cell_angle_gamma 90.00
loop_
_atom_site_label
_atom_site_fract_x
_atom_site_fract_y
_atom_site_fract_z
K1 0.000 0.500 0.000
Rb1 0.000 0.000 0.500
Na1 0.500 0.500 0.500
Li1 0.000 0.000 0.000
```

This record from Alexandria describes a relaxed MgIr2Br crystal. The functional is PBE.

## Properties
D(E_F): 3.65 states/eV per cell
Theoretical density: 12.3 g/cm³
Energy above the most stable polymorph in this dataset: 0.258 eV/atom
Raw formation energy: 0.36 eV per atom

```
data_MgIr2Br
_space_group_name_H-M_alt 'P m m m'
_space_group_IT_number 47
_space_group_name_Hall '-P 2 2'
_cell_length_a 2.944
_cell_length_b 4.661
_cell_length_c 4.814
_cell_angle_alpha 90.00
_cell_angle_beta 90.00
_cell_angle_gamma 90.00
loop_
_atom_site_label
_atom_site_fract_x
_atom_site_fract_y
_atom_site_fract_z
Mg1 0.000 0.000 0.000
Ir1 0.000 0.500 0.500
Ir2 0.500 0.500 0.000
Br1 0.500 0.000 0.500
```

This record from Alexandria describes a relaxed Tm2TcNi crystal. The functional is PBE.

## Properties
ΔH_f (0 K): 517.7 meV per atom
D(E_F): 9.59 states/eV per cell
Theoretical density: 9.9 g/cm³

```
data_Tm2TcNi
_space_group_name_H-M_alt 'R -3 m'
_space_group_IT_number 166
_space_group_name_Hall '-R 3 2"'
_cell_length_a 3.2221
_cell_length_b 3.2221
_cell_length_c 27.6151
_cell_angle_alpha 90.00
_cell_angle_beta 90.00
_cell_angle_gamma 120.00
loop_
_atom_site_label
_atom_site_fract_x
_atom_site_fract_y
_atom_site_fract_z
Tm1 0.0000 0.0000 0.0955
Tc1 0.0000 0.0000 0.0000
Ni1 0.0000 0.0000 0.5000
```